[1]
Compound: Cs3UAg2Cl9
Source: Alexandria via LeMat-Bulk
Functional: PBE-GGA
Structure: relaxed

Results
Crystal system: trigonal
Formation energy from raw total energies: -1525 meV/atom

a = 7.731 Å, b = 7.731 Å, c = 9.631 Å
α = 90.00°, β = 90.00°, γ = 120.00°
Positions (direct):
Cs  0.000  0.000  0.000
Cs  0.333  0.667  0.716
Cs  0.667  0.333  0.284
U  0.000  0.000  0.500
Ag  0.333  0.667  0.142
Ag  0.667  0.333  0.858
Cl  0.000  0.500  0.000
Cl  0.161  0.321  0.342
Cl  0.161  0.839  0.342
Cl  0.321  0.161  0.658
Cl  0.500  0.000  0.000
Cl  0.500  0.500  0.000
Cl  0.679  0.839  0.342
Cl  0.839  0.161  0.658
Cl  0.839  0.679  0.658

---

[2]
Compound: LiCu2Ni
Source: Alexandria via LeMat-Bulk
Functional: PBE-GGA
Structure: relaxed

Results
Energy relative to the elements: -0.041 eV/atom
Crystal system: tetragonal
E above lowest polymorph: 4.8 meV/atom

a = 4.120 Å, b = 4.120 Å, c = 2.735 Å
α = 90.00°, β = 90.00°, γ = 90.00°
Positions (direct):
Li  0.000  0.000  0.000
Cu  0.000  0.500  0.500
Cu  0.500  0.000  0.500
Ni  0.500  0.500  0.000

---

[3]
Compound: PrSm2HoTe6
Source: Alexandria via LeMat-Bulk
Functional: PBE-GGA
Structure: relaxed

Results
Crystal system: trigonal
Formation energy from raw total energies: -1371 meV/atom

a = 8.447 Å, b = 8.447 Å, c = 8.447 Å
α = 55.42°, β = 55.42°, γ = 55.42°
Positions (direct):
Pr  0.000  0.000  0.000
Sm  0.308  0.308  0.308
Sm  0.810  0.810  0.810
Ho  0.497  0.497  0.497
Te  0.097  0.707  0.411
Te  0.223  0.591  0.895
Te  0.411  0.097  0.707
Te  0.591  0.895  0.223
Te  0.707  0.411  0.097
Te  0.895  0.223  0.591

---

[4]
Compound: Mg2Si2Ni5Ge
Source: Alexandria via LeMat-Bulk
Functional: PBE-GGA
Structure: relaxed

Results
Crystal system: tetragonal
Formation energy from raw total energies: -370 meV/atom

a = 9.064 Å, b = 9.064 Å, c = 3.223 Å
α = 90.00°, β = 90.00°, γ = 90.00°
Positions (direct):
Mg  0.173  0.327  0.000
Mg  0.327  0.827  0.000
Mg  0.673  0.173  0.000
Mg  0.827  0.673  0.000
Si  0.125  0.625  0.000
Si  0.375  0.125  0.000
Si  0.625  0.875  0.000
Si  0.875  0.375  0.000
Ni  0.000  0.500  0.500
Ni  0.065  0.796  0.500
Ni  0.204  0.065  0.500
Ni  0.296  0.565  0.500
Ni  0.435  0.296  0.500
Ni  0.500  0.000  0.500
Ni  0.565  0.704  0.500
Ni  0.704  0.435  0.500
Ni  0.796  0.935  0.500
Ni  0.935  0.204  0.500
Ge  0.000  0.000  0.000
Ge  0.500  0.500  0.000

---

[5]
Compound: AgGe2Pd7
Source: Alexandria via LeMat-Bulk
Functional: PBE-GGA
Structure: relaxed

Results
Energy relative to the elements: -0.001 eV/atom
Crystal system: orthorhombic
E above lowest polymorph: 318.7 meV/atom

a = 7.092 Å, b = 7.092 Å, c = 4.370 Å
α = 90.00°, β = 90.00°, γ = 117.89°
Positions (direct):
Ag  0.000  0.000  0.000
Ge  0.302  0.698  0.500
Ge  0.698  0.302  0.500
Pd  0.067  0.310  0.500
Pd  0.223  0.777  0.000
Pd  0.310  0.067  0.500
Pd  0.500  0.500  0.500
Pd  0.690  0.933  0.500
Pd  0.777  0.223  0.000
Pd  0.933  0.690  0.500

---

[6]
Compound: SrZrAl2O
Source: Alexandria via LeMat-Bulk
Functional: PBE-GGA
Structure: relaxed

Results
Crystal system: tetragonal
Formation energy from raw total energies: 659 meV/atom

a = 5.720 Å, b = 5.720 Å, c = 4.110 Å
α = 90.00°, β = 90.00°, γ = 90.00°
Positions (direct):
Sr  0.000  0.000  0.000
Zr  0.500  0.500  0.500
Al  0.000  0.500  0.000
Al  0.500  0.000  0.000
O  0.000  0.000  0.500

---

[7]
Compound: CeCoGeH
Source: Alexandria via LeMat-Bulk
Functional: PBE-GGA
Structure: relaxed

Results
Crystal system: tetragonal
E above lowest polymorph: 0.0 meV/atom

a = 4.021 Å, b = 4.021 Å, c = 7.266 Å
α = 90.00°, β = 90.00°, γ = 90.00°
Positions (direct):
Ce  0.250  0.250  0.175
Ce  0.750  0.750  0.825
Co  0.250  0.750  0.500
Co  0.750  0.250  0.500
Ge  0.250  0.250  0.675
Ge  0.750  0.750  0.325
H  0.250  0.750  0.000
H  0.750  0.250  0.000

---

[8]
Compound: CeHfPdRu
Source: Alexandria via LeMat-Bulk
Functional: PBE-GGA
Structure: relaxed

Results
Energy relative to the elements: -0.447 eV/atom
Crystal system: cubic

a = 4.806 Å, b = 4.806 Å, c = 4.806 Å
α = 60.00°, β = 60.00°, γ = 60.00°
Positions (direct):
Ce  0.000  0.000  0.000
Hf  0.500  0.500  0.500
Pd  0.250  0.250  0.250
Ru  0.750  0.750  0.750

---

[9]
Compound: SrAcSi2O6
Source: Alexandria via LeMat-Bulk
Functional: PBE-GGA
Structure: relaxed

Results
Crystal system: monoclinic
Formation energy from raw total energies: -2767 meV/atom

a = 6.954 Å, b = 6.954 Å, c = 7.997 Å
α = 101.50°, β = 101.50°, γ = 113.35°
Positions (direct):
Sr  0.143  0.857  0.750
Sr  0.857  0.143  0.250
Ac  0.283  0.717  0.250
Ac  0.717  0.283  0.750
Si  0.234  0.407  0.752
Si  0.407  0.234  0.252
Si  0.593  0.766  0.748
Si  0.766  0.593  0.248
O  0.011  0.283  0.582
O  0.170  0.540  0.907
O  0.259  0.357  0.288
O  0.283  0.011  0.082
O  0.357  0.259  0.788
O  0.460  0.830  0.593
O  0.540  0.170  0.407
O  0.643  0.741  0.212
O  0.717  0.989  0.918
O  0.741  0.643  0.712
O  0.830  0.460  0.093
O  0.989  0.717  0.418

---

[10]
Compound: LiVTc2Sb
Source: Alexandria via LeMat-Bulk
Functional: PBE-GGA
Structure: relaxed

Results
Crystal system: tetragonal
Formation energy from raw total energies: 1075 meV/atom

a = 4.260 Å, b = 4.260 Å, c = 4.237 Å
α = 90.00°, β = 90.00°, γ = 90.00°
Positions (direct):
Li  0.000  0.000  0.000
V  0.500  0.500  0.500
Tc  0.000  0.500  0.000
Tc  0.500  0.000  0.000
Sb  0.000  0.000  0.500

---

[11]
Compound: Ce6In2Pd
Source: Alexandria via LeMat-Bulk
Functional: PBE-GGA
Structure: relaxed

Results
Energy relative to the elements: -0.254 eV/atom
Crystal system: hexagonal

a = 9.071 Å, b = 9.071 Å, c = 2.987 Å
α = 90.00°, β = 90.00°, γ = 120.00°
Positions (direct):
Ce  0.000  0.313  0.000
Ce  0.000  0.687  0.000
Ce  0.313  0.000  0.000
Ce  0.313  0.313  0.000
Ce  0.687  0.000  0.000
Ce  0.687  0.687  0.000
In  0.333  0.667  0.500
In  0.667  0.333  0.500
Pd  0.000  0.000  0.500

---

[12]
Compound: Y2AlCo6Si
Source: Alexandria via LeMat-Bulk
Functional: PBE-GGA
Structure: relaxed

Results
Crystal system: monoclinic
Formation energy from raw total energies: 95 meV/atom

a = 6.055 Å, b = 6.055 Å, c = 6.050 Å
α = 119.96°, β = 119.96°, γ = 60.07°
Positions (direct):
Y  0.250  0.250  0.250
Y  0.750  0.750  0.750
Al  0.000  0.000  0.500
Co  0.255  0.255  0.755
Co  0.255  0.745  0.245
Co  0.255  0.745  0.755
Co  0.745  0.255  0.245
Co  0.745  0.255  0.755
Co  0.745  0.745  0.245
Si  0.500  0.500  0.000

---

[13]
Compound: LiGa2SiO6
Source: Alexandria via LeMat-Bulk
Functional: PBE-GGA
Structure: relaxed

Results
Crystal system: monoclinic
Formation energy from raw total energies: -1966 meV/atom

a = 7.211 Å, b = 7.211 Å, c = 5.503 Å
α = 107.01°, β = 107.01°, γ = 96.86°
Positions (direct):
Li  0.080  0.920  0.750
Li  0.920  0.080  0.250
Ga  0.244  0.428  0.845
Ga  0.428  0.244  0.345
Ga  0.572  0.756  0.655
Ga  0.756  0.572  0.155
Si  0.178  0.822  0.250
Si  0.822  0.178  0.750
O  0.033  0.201  0.685
O  0.156  0.651  0.969
O  0.201  0.033  0.185
O  0.336  0.435  0.564
O  0.349  0.844  0.531
O  0.435  0.336  0.064
O  0.565  0.664  0.936
O  0.651  0.156  0.469
O  0.664  0.565  0.436
O  0.799  0.967  0.815
O  0.844  0.349  0.031
O  0.967  0.799  0.315

---

[14]
Compound: Nd2AlNi
Source: Alexandria via LeMat-Bulk
Functional: PBE-GGA
Structure: relaxed

Results
Energy relative to the elements: -0.189 eV/atom
Crystal system: cubic
E above lowest polymorph: 83.3 meV/atom

a = 5.151 Å, b = 5.151 Å, c = 5.151 Å
α = 60.00°, β = 60.00°, γ = 60.00°
Positions (direct):
Nd  0.250  0.250  0.250
Nd  0.750  0.750  0.750
Al  0.000  0.000  0.000
Ni  0.500  0.500  0.500

---

[15]
Compound: PrSmCrN3
Source: Alexandria via LeMat-Bulk
Functional: PBE-GGA
Structure: relaxed

Results
Crystal system: monoclinic
Formation energy from raw total energies: -1026 meV/atom

a = 7.361 Å, b = 3.478 Å, c = 7.636 Å
α = 90.00°, β = 97.98°, γ = 90.00°
Positions (direct):
Pr  0.179  0.250  0.175
Pr  0.821  0.750  0.825
Sm  0.177  0.250  0.630
Sm  0.823  0.750  0.370
Cr  0.405  0.750  0.918
Cr  0.595  0.250  0.082
N  0.147  0.750  0.398
N  0.159  0.750  0.880
N  0.485  0.250  0.846
N  0.515  0.750  0.154
N  0.841  0.250  0.120
N  0.853  0.250  0.602

---

[16]
Compound: Li2FeCuB
Source: Alexandria via LeMat-Bulk
Functional: PBE-GGA
Structure: relaxed

Results
Energy relative to the elements: 1.244 eV/atom
Crystal system: tetragonal

a = 4.097 Å, b = 4.097 Å, c = 4.533 Å
α = 90.00°, β = 90.00°, γ = 90.00°
Positions (direct):
Li  0.000  0.500  0.000
Li  0.500  0.000  0.000
Fe  0.000  0.000  0.500
Cu  0.000  0.000  0.000
B  0.500  0.500  0.500

---

[17]
Compound: YSb5
Source: Alexandria via LeMat-Bulk
Functional: PBE-GGA
Structure: relaxed

Results
Crystal system: orthorhombic
Formation energy from raw total energies: -218 meV/atom
E above lowest polymorph: 0.0 meV/atom

a = 4.386 Å, b = 8.600 Å, c = 8.600 Å
α = 31.60°, β = 90.00°, γ = 90.00°
Positions (direct):
Y  0.000  0.000  0.000
Sb  0.000  0.340  0.340
Sb  0.000  0.634  0.634
Sb  0.500  0.146  0.146
Sb  0.500  0.471  0.471
Sb  0.500  0.775  0.775

---

[18]
Compound: CuRuPt2
Source: Alexandria via LeMat-Bulk
Functional: PBE-GGA
Structure: relaxed

Results
Energy relative to the elements: 0.137 eV/atom
Crystal system: orthorhombic
E above lowest polymorph: 185.3 meV/atom

a = 5.330 Å, b = 5.330 Å, c = 5.330 Å
α = 150.18°, β = 128.36°, γ = 60.78°
Positions (direct):
Cu  0.000  0.000  0.000
Ru  0.244  0.744  0.500
Pt  0.493  0.493  0.000
Pt  0.757  0.257  0.500

---

[19]
Compound: Gd2TmCo
Source: Alexandria via LeMat-Bulk
Functional: PBE-GGA
Structure: relaxed

Results
Energy relative to the elements: 0.175 eV/atom
Crystal system: trigonal
E above lowest polymorph: 183.9 meV/atom

a = 10.451 Å, b = 10.451 Å, c = 10.451 Å
α = 19.73°, β = 19.73°, γ = 19.73°
Positions (direct):
Gd  0.112  0.112  0.112
Gd  0.888  0.888  0.888
Tm  0.000  0.000  0.000
Co  0.500  0.500  0.500

---

[20]
Compound: KV2Os
Source: Alexandria via LeMat-Bulk
Functional: PBE-GGA
Structure: relaxed

Results
Energy relative to the elements: 1.407 eV/atom
Crystal system: tetragonal
E above lowest polymorph: 187.8 meV/atom

a = 8.776 Å, b = 8.776 Å, c = 8.776 Å
α = 144.17°, β = 144.17°, γ = 51.58°
Positions (direct):
K  0.375  0.625  0.750
K  0.625  0.375  0.250
V  0.000  0.000  0.000
V  0.000  0.000  0.500
V  0.000  0.500  0.000
V  0.500  0.000  0.500
Os  0.125  0.875  0.250
Os  0.875  0.125  0.750

---

[21]
Compound: NdYTlCd
Source: Alexandria via LeMat-Bulk
Functional: PBE-GGA
Structure: relaxed

Results
Energy relative to the elements: -0.368 eV/atom
Crystal system: cubic

a = 5.419 Å, b = 5.419 Å, c = 5.419 Å
α = 60.00°, β = 60.00°, γ = 60.00°
Positions (direct):
Nd  0.000  0.000  0.000
Y  0.500  0.500  0.500
Tl  0.250  0.250  0.250
Cd  0.750  0.750  0.750

---

[22]
Compound: PmGaSbRh
Source: Alexandria via LeMat-Bulk
Functional: PBE-GGA
Structure: relaxed

Results
Crystal system: cubic
Formation energy from raw total energies: -558 meV/atom

a = 4.917 Å, b = 4.917 Å, c = 4.917 Å
α = 60.00°, β = 60.00°, γ = 60.00°
Positions (direct):
Pm  0.000  0.000  0.000
Ga  0.250  0.250  0.250
Sb  0.500  0.500  0.500
Rh  0.750  0.750  0.750

---

[23]
Compound: ZrUPa2N6
Source: Alexandria via LeMat-Bulk
Functional: PBE-GGA
Structure: relaxed

Results
Crystal system: trigonal
Formation energy from raw total energies: -1460 meV/atom

a = 5.941 Å, b = 5.941 Å, c = 5.941 Å
α = 59.51°, β = 59.51°, γ = 59.51°
Positions (direct):
Zr  0.000  0.000  0.000
U  0.499  0.499  0.499
Pa  0.277  0.277  0.277
Pa  0.779  0.779  0.779
N  0.112  0.374  0.688
N  0.182  0.880  0.609
N  0.374  0.688  0.112
N  0.609  0.182  0.880
N  0.688  0.112  0.374
N  0.880  0.609  0.182

---

[24]
Compound: Ca3Cd2Ga4
Source: Alexandria via LeMat-Bulk
Functional: PBE-GGA
Structure: relaxed

Results
Energy relative to the elements: -0.432 eV/atom
Crystal system: monoclinic
E above lowest polymorph: 9.2 meV/atom

a = 5.962 Å, b = 5.962 Å, c = 8.837 Å
α = 111.93°, β = 111.93°, γ = 46.56°
Positions (direct):
Ca  0.000  0.000  0.000
Ca  0.329  0.329  0.337
Ca  0.671  0.671  0.663
Cd  0.395  0.395  0.727
Cd  0.605  0.605  0.273
Ga  0.025  0.025  0.366
Ga  0.249  0.249  0.922
Ga  0.751  0.751  0.078
Ga  0.975  0.975  0.634

---

no.,calculated density (Mg/m³),raw total energy (hartree per atom)
1,3.9,-0.1447
2,6.9,-0.1475
3,6.0,-0.1887
4,5.9,-0.1884
5,8.5,-0.1780
6,3.1,-0.1424
7,7.7,-0.2160
8,11.1,-0.2953
9,4.7,-0.2721
10,8.1,-0.2242
11,9.2,-0.1983
12,6.2,-0.2344
13,3.5,-0.2308
14,6.4,-0.1821
15,6.6,-0.3078
16,3.1,-0.1238
17,6.8,-0.1738
18,15.7,-0.2288
19,7.9,-0.3587
20,4.8,-0.2291
21,8.1,-0.1469
22,8.7,-0.1974
23,9.9,-0.3799
24,5.0,-0.0973